Record 1
Here is a PBEsol-optimized structure of BeCdI2 from Alexandria. Energies are from SCAN.

Cell: 7.659 7.659 8.985 Å, 90.00 90.00 90.00°
Space group I-42d (No. 122)
Symmetry-distinct sites (fractional):
Be (0.000, 0.000, 0.000) x4
Cd (0.000, 0.000, 0.500) x4
I (0.129, 0.250, 0.125) x8

Values from the calculation:
Spin magnetization in μB per cell: 0.00
Uncorrected formation energy in eV per atom: -0.112
Density of states at the Fermi level in states/eV per cell: 0.00

Record 2
Here is a PBEsol-optimized structure of CaLa2Mg from Alexandria. Energies are from SCAN.

Cell: 3.989 5.676 11.726 Å, 90.00 90.00 90.00°
Space group Cmmm (No. 65)
Symmetry-distinct sites (fractional):
Ca (0.000, 0.000, 0.000) x2
La (0.000, 0.500, 0.268) x4
Mg (0.000, 0.000, 0.500) x2

Values from the calculation:
Spin magnetization in μB per cell: 0.00
ΔH_f (0 K) in eV per atom: 0.0775
Density of states at the Fermi level in states/eV per cell: 9.33

Record 3
Here is a PBEsol-optimized structure of La3Sm from Alexandria. Energies are from SCAN.

Cell: 5.111 5.111 10.184 Å, 90.00 90.00 90.00°
Space group I4/mmm (No. 139)
Symmetry-distinct sites (fractional):
La (0.000, 0.000, 0.000) x2
La (0.000, 0.500, 0.250) x4
Sm (0.000, 0.000, 0.500) x2

Values from the calculation:
Spin magnetization in μB per cell: 0.00
ΔH_f (0 K) in eV per atom: 0.0180
Density of states at the Fermi level in states/eV per cell: 12.61

Record 4
Here is a PBEsol-optimized structure of SmVSb3 from Alexandria. Energies are from SCAN.

Cell: 12.821 6.222 5.890 Å, 90.00 90.00 90.00°
Space group Pbcm (No. 57)
Symmetry-distinct sites (fractional):
Sm (0.190, 0.002, 0.250) x4
V (0.403, 0.750, 0.000) x4
Sb (0.001, 0.750, 0.000) x4
Sb (0.278, 0.006, 0.750) x4
Sb (0.434, 0.105, 0.250) x4

Values from the calculation:
Spin magnetization in μB per cell: 3.48
Uncorrected formation energy in eV per atom: -0.604
Density of states at the Fermi level in states/eV per cell: 9.17

Record 5
Here is a PBEsol-optimized structure of Na3LiBe from Alexandria. Energies are from SCAN.

Cell: 5.401 5.401 5.401 Å, 90.00 90.00 90.00°
Space group Pm-3m (No. 221)
Symmetry-distinct sites (fractional):
Na (0.000, 0.000, 0.500) x3
Li (0.000, 0.000, 0.000) x1
Be (0.500, 0.500, 0.500) x1

Values from the calculation:
Spin magnetization in μB per cell: 0.00
ΔH_f (0 K) in eV per atom: 0.8154
Density of states at the Fermi level in states/eV per cell: 2.34

Record 6
Here is a PBEsol-optimized structure of SrScSb3 from Alexandria. Energies are from SCAN.

Cell: 5.694 5.694 5.694 Å, 90.00 90.00 90.00°
Space group Pm-3m (No. 221)
Symmetry-distinct sites (fractional):
Sr (0.000, 0.000, 0.000) x1
Sc (0.500, 0.500, 0.500) x1
Sb (0.000, 0.000, 0.500) x3

Values from the calculation:
Spin magnetization in μB per cell: 0.01
Uncorrected formation energy in eV per atom: 0.808
Density of states at the Fermi level in states/eV per cell: 4.64

Record 7
Here is a PBEsol-optimized structure of LaBeSb from Alexandria. Energies are from SCAN.

Cell: 3.274 3.750 11.013 Å, 90.00 90.00 90.00°
Space group Imm2 (No. 44)
Symmetry-distinct sites (fractional):
La (0.000, 0.000, 0.000) x2
Be (0.000, 0.000, 0.309) x2
Sb (0.000, 0.000, 0.710) x2

Values from the calculation:
Spin magnetization in μB per cell: 0.00
Uncorrected formation energy in eV per atom: -0.203
Density of states at the Fermi level in states/eV per cell: 3.00

Record 8
Here is a PBEsol-optimized structure of SrTi2Ir2 from Alexandria. Energies are from SCAN.

Cell: 4.252 4.252 10.876 Å, 90.00 90.00 90.00°
Space group I4/mmm (No. 139)
Symmetry-distinct sites (fractional):
Sr (0.000, 0.000, 0.000) x2
Ti (0.000, 0.500, 0.250) x4
Ir (0.000, 0.000, 0.378) x4

Values from the calculation:
Spin magnetization in μB per cell: 0.00
ΔH_f (0 K) in eV per atom: -0.8233
Density of states at the Fermi level in states/eV per cell: 7.90

Record 9
Here is a PBEsol-optimized structure of LaNi2Os from Alexandria. Energies are from SCAN.

Cell: 2.846 4.538 9.499 Å, 90.00 90.00 90.00°
Space group Imm2 (No. 44)
Symmetry-distinct sites (fractional):
La (0.000, 0.000, 0.000) x2
Ni (0.000, 0.000, 0.519) x2
Ni (0.000, 0.500, 0.232) x2
Os (0.000, 0.500, 0.786) x2

Values from the calculation:
Spin magnetization in μB per cell: 0.00
ΔH_f (0 K) in eV per atom: 0.4060
Density of states at the Fermi level in states/eV per cell: 8.49

Record 10
Here is a PBEsol-optimized structure of LiAsAu from Alexandria. Energies are from SCAN.

Cell: 4.3819 4.3819 3.0620 Å, 90.00 90.00 120.00°
Space group P-6m2 (No. 187)
Symmetry-distinct sites (fractional):
Li (0.0000, 0.0000, 0.0000) x1
As (0.3333, 0.6667, 0.5000) x1
Au (0.6667, 0.3333, 0.5000) x1

Values from the calculation:
Spin magnetization in μB per cell: 0.00
ΔH_f (0 K) in eV per atom: -0.5018
Density of states at the Fermi level in states/eV per cell: 0.43

Record 11
Here is a PBEsol-optimized structure of Y2Ta2Cu from Alexandria. Energies are from SCAN.

Cell: 3.708 3.708 16.904 Å, 90.00 90.00 90.00°
Space group I4/mmm (No. 139)
Symmetry-distinct sites (fractional):
Y (0.000, 0.000, 0.097) x4
Ta (0.000, 0.500, 0.250) x4
Cu (0.000, 0.000, 0.500) x2

Values from the calculation:
Spin magnetization in μB per cell: 0.00
ΔH_f (0 K) in eV per atom: 0.4418
Density of states at the Fermi level in states/eV per cell: 9.35

Record 12
Here is a PBEsol-optimized structure of BTe2SN from Alexandria. Energies are from SCAN.

Cell: 5.490 5.490 3.252 Å, 90.00 90.00 90.00°
Space group P4/mmm (No. 123)
Symmetry-distinct sites (fractional):
B (0.000, 0.000, 0.000) x1
Te (0.000, 0.500, 0.500) x2
S (0.500, 0.500, 0.500) x1
N (0.500, 0.500, 0.000) x1

Values from the calculation:
Spin magnetization in μB per cell: 0.00
Uncorrected formation energy in eV per atom: 1.573
Density of states at the Fermi level in states/eV per cell: 2.87